Here is a relaxed CdSeS2N crystal from Alexandria. Energies are from GGA-PBE.

The structure in extended XYZ format:
```
5
Lattice="-4.2548 -2.7095 0.6653 2.2465 -4.0466 -2.1130 1.3550 -1.2067 3.7515" Properties=species:S:1:pos:R:3 pbc="T T T"
Se -0.3266 -3.9814 1.1519
S 1.1233 -2.0233 -1.0565
S -2.1274 -1.3547 0.3326
Cd 0.0000 0.0000 0.0000
N 0.6775 -0.6033 1.8758
```

## Properties
formation energy (no corrections)	7.013	eV per formula unit
SG	P4/mmm, No. 123



Here is a relaxed CdSeSN2 crystal from Alexandria. Energies are from GGA-PBE.

The structure in extended XYZ format:
```
5
Lattice="3.6125 0.0000 0.0000 0.0000 3.6125 0.0000 0.0000 0.0000 7.6409" Properties=species:S:1:pos:R:3 pbc="T T T"
S 0.0000 0.0000 0.0000
Se 0.0000 0.0000 3.8204
N 0.0000 1.8062 0.0000
N 1.8062 0.0000 0.0000
Cd 1.8062 1.8062 3.8204
```

## Properties
formation energy (no corrections)	6.523	eV per formula unit
SG	P4/mmm, No. 123



Here is a relaxed CdSeSN2 crystal from Alexandria. Energies are from GGA-PBE.

The structure in extended XYZ format:
```
5
Lattice="-0.1360 3.2338 2.6262 2.2556 -2.1519 2.7667 4.9408 2.1322 -2.3696" Properties=species:S:1:pos:R:3 pbc="T T T"
Se 3.5302 1.6071 1.5116
N 1.1278 -1.0760 1.3833
N -0.0680 1.6169 1.3131
S 2.4704 1.0661 -1.1848
Cd 0.0000 0.0000 0.0000
```

## Properties
formation energy (no corrections)	9.425	eV per formula unit
SG	P4/mmm, No. 123



| no. | offset from the most stable computed form (kJ per mole of atoms) | total moment (μB/f.u.) |
| --- | --- | --- |
| 1 | 52.0 | 1.94 |
| 2 | 2.0 | 0.76 |
| 3 | 58.0 | 4.40 |